{"formula": "MnSi2F", "functional": "PBE+U", "state": "optimized geometry", "volume_a3_per_cell": 231, "mass_density_g_cm3": 3.75, "de_polymorph_ev_per_atom": 0.167, "energy_ev_per_cell": -79.9, "spacegroup": "No. 225", "lattice_angstrom": [[6.133, 0.000, 0.000], [0.000, 6.133, 0.000], [0.000, 0.000, 6.133]], "species": ["Mn", "Mn", "Mn", "Mn", "Si", "Si", "Si", "Si", "Si", "Si", "Si", "Si", "F", "F", "F", "F"], "frac_coords": [[0.000, 0.000, 0.000], [0.000, 0.500, 0.500], [0.500, 0.000, 0.500], [0.500, 0.500, 0.000], [0.250, 0.250, 0.250], [0.250, 0.250, 0.750], [0.250, 0.750, 0.250], [0.250, 0.750, 0.750], [0.750, 0.250, 0.250], [0.750, 0.250, 0.750], [0.750, 0.750, 0.250], [0.750, 0.750, 0.750], [0.000, 0.000, 0.500], [0.000, 0.500, 0.000], [0.500, 0.000, 0.000], [0.500, 0.500, 0.500]]}